Entry 1:
# Ta2TiS5

Crystalline Ta2TiS5 at its relaxed geometry (PBE, Alexandria via LeMat-Bulk).

Its density of states at the Fermi level is 0.387 states/eV per atom. The uncorrected formation energy is -6.76 eV/f.u. The electronic total energy is -59.00 eV per cell.

a b c (Å): 4.4558 7.0078 6.9063
angles (deg): 84.11 71.18 71.46
With the nearest neighbours (Å) after each atom.
Sites, in units of the cell vectors:
S: 0.7771 0.2721 0.1738  3 Ta 2.50-2.71, 1 Ti 2.62
S: 0.5491 0.7279 0.1738  3 Ta 2.50-2.71, 1 Ti 2.62
S: 0.4509 0.2721 0.8262  3 Ta 2.50-2.71, 1 Ti 2.62
S: 0.2229 0.7279 0.8262  3 Ta 2.50-2.71, 1 Ti 2.62
S: 0.0000 0.5000 0.5000  2 Ti 2.23, 2 Ta 2.42
Ti: 0.5000 0.5000 0.5000  2 S 2.23
Ta: 0.8149 0.5000 0.8702  7 S 2.42-2.71
Ta: 0.1851 0.5000 0.1298  7 S 2.42-2.71

Entry 2:
# SrY3Ru

Crystalline SrY3Ru at its relaxed geometry (PBE, Alexandria via LeMat-Bulk).

Its density of states at the Fermi level is 1.440 states/eV per atom. For the energy relative to the elements, the calculation gives 0.069 eV per atom. The electronic total energy is -30.00 eV per cell.

a b c (Å): 3.5406 6.9070 6.9070
angles (deg): 77.39 90.00 90.00
With the nearest neighbours (Å) after each atom.
Sites, in units of the cell vectors:
Y: 0.5000 0.5379 0.0604  2 Ru 2.80
Y: 0.0000 0.0205 0.9795  1 Ru 2.62
Y: 0.5000 0.9396 0.4621  2 Ru 2.80
Ru: 0.0000 0.7172 0.2828  5 Y 2.62-2.80
Sr: 0.5000 0.4129 0.5871  2 Ru 3.17, 2 Sr 3.54

Entry 3:
# Ce2Mg2Ge4Rh

Crystalline Ce2Mg2Ge4Rh at its relaxed geometry (PBE, Alexandria via LeMat-Bulk).

Its density of states at the Fermi level is 1.160 states/eV per atom. For the energy relative to the elements, the calculation gives -0.548 eV per atom. The electronic total energy is -45.81 eV per cell.

a b c (Å): 6.3187 6.3187 6.3187
angles (deg): 93.45 118.03 118.03
With the nearest neighbours (Å) after each atom.
Sites, in units of the cell vectors:
Ce: 0.5000 0.2500 0.7500  8 Ge 3.16, 4 Mg 3.27
Ce: 0.5000 0.7500 0.2500  8 Ge 3.16, 4 Mg 3.27
Rh: 0.0000 0.0000 0.0000  4 Ge 2.48, 2 Mg 2.53
Ge: 0.0000 0.2693 0.7307  1 Rh 2.48
Ge: 0.4613 0.7307 0.7307  1 Rh 2.48
Ge: 0.5387 0.2693 0.2693  1 Rh 2.48
Ge: 0.0000 0.7307 0.2693  1 Rh 2.48
Mg: 0.0000 0.2924 0.2924  1 Rh 2.53, 4 Ge 2.78
Mg: 0.0000 0.7076 0.7076  1 Rh 2.53, 4 Ge 2.78

Entry 4:
# ThNiHg

Crystalline ThNiHg at its relaxed geometry (PBE, Alexandria via LeMat-Bulk).

Its density of states at the Fermi level is 1.250 states/eV per atom. For the energy relative to the elements, the calculation gives -0.263 eV per atom. The electronic total energy is -14.29 eV per cell.

a b c (Å): 4.6486 4.6486 4.6486
angles (deg): 60.00 60.00 60.00
With the nearest neighbours (Å) after each atom.
Sites, in units of the cell vectors:
Hg: 0.0000 0.0000 0.0000  4 Ni 2.85
Ni: 0.2500 0.2500 0.2500  4 Th 2.85, 4 Hg 2.85
Th: 0.5000 0.5000 0.5000  4 Ni 2.85

Entry 5:
# Tl4GaHg

Crystalline Tl4GaHg at its relaxed geometry (PBE, Alexandria via LeMat-Bulk).

Its density of states at the Fermi level is 0.511 states/eV per atom. For the energy relative to the elements, the calculation gives 0.069 eV per atom. The electronic total energy is -12.38 eV per cell.

a b c (Å): 3.3735 8.6868 6.9632
angles (deg): 119.17 90.00 101.20
With the nearest neighbours (Å) after each atom.
Sites, in units of the cell vectors:
Hg: 0.5000 0.0000 0.5000  6 Tl 3.18-3.24, 2 Hg 3.37
Tl: 0.8431 0.6862 0.5254  1 Ga 3.05, 2 Hg 3.24, 2 Tl 3.37
Tl: 0.1569 0.3138 0.4746  1 Ga 3.05, 2 Hg 3.24, 2 Tl 3.37
Tl: 0.3409 0.6818 0.0000  1 Hg 3.18, 2 Ga 3.19, 5 Tl 3.37-3.53
Tl: 0.6591 0.3182 0.0000  1 Hg 3.18, 2 Ga 3.19, 5 Tl 3.37-3.53
Ga: 0.0000 0.0000 0.0000  6 Tl 3.05-3.19, 2 Ga 3.37

Entry 6:
# Tb12Tl3Ag

Crystalline Tb12Tl3Ag at its relaxed geometry (PBE, Alexandria via LeMat-Bulk).

Its density of states at the Fermi level is 1.303 states/eV per atom. For the energy relative to the elements, the calculation gives -0.135 eV per atom. The electronic total energy is -67.68 eV per cell.

a b c (Å): 4.8672 4.8672 19.2531
angles (deg): 90.00 90.00 90.00
With the nearest neighbours (Å) after each atom.
Sites, in units of the cell vectors:
Tb: 0.5000 0.5000 0.7547  8 Tb 3.43-3.47, 4 Tl 3.44
Tb: 0.5000 0.0000 0.1200  8 Tb 3.36-3.44, 2 Ag 3.36, 2 Tl 3.46
Tb: 0.0000 0.5000 0.6265  4 Tl 3.43-3.44, 8 Tb 3.44-3.47
Tb: 0.0000 0.5000 0.3735  4 Tl 3.43-3.44, 8 Tb 3.44-3.47
Tb: 0.0000 0.5000 0.8800  2 Ag 3.36, 8 Tb 3.36-3.44, 2 Tl 3.46
Tb: 0.5000 0.5000 0.0000  8 Tb 3.36, 4 Ag 3.44
Tb: 0.0000 0.5000 0.1200  2 Ag 3.36, 8 Tb 3.36-3.44, 2 Tl 3.46
Tb: 0.5000 0.5000 0.2453  8 Tb 3.43-3.47, 4 Tl 3.44
Tb: 0.5000 0.0000 0.8800  8 Tb 3.36-3.44, 2 Ag 3.36, 2 Tl 3.46
Tb: 0.5000 0.0000 0.6265  4 Tl 3.43-3.44, 8 Tb 3.44-3.47
Tb: 0.5000 0.0000 0.3735  4 Tl 3.43-3.44, 8 Tb 3.44-3.47
Tb: 0.5000 0.5000 0.5000  4 Tl 3.44, 8 Tb 3.44
Ag: 0.0000 0.0000 0.0000  12 Tb 3.36-3.44
Tl: 0.0000 0.0000 0.2478  12 Tb 3.43-3.46
Tl: 0.0000 0.0000 0.5000  12 Tb 3.44
Tl: 0.0000 0.0000 0.7522  12 Tb 3.43-3.46

Entry 7:
# K3MgNp3Se8

Crystalline K3MgNp3Se8 at its relaxed geometry (PBE, Alexandria via LeMat-Bulk).

Its density of states at the Fermi level is 1.984 states/eV per atom. The uncorrected formation energy is -18.26 eV/f.u. The electronic total energy is -89.85 eV per cell.

a b c (Å): 8.3108 8.3098 9.1335
angles (deg): 117.06 90.00 120.00
With the nearest neighbours (Å) after each atom.
Sites, in units of the cell vectors:
Np: 0.0000 0.5000 0.5000  6 Se 2.85-2.88
Np: 0.5000 0.5000 0.5000  6 Se 2.85-2.88
Np: 0.5000 0.0000 0.5000  6 Se 2.85-2.88
Se: 0.2315 0.9646 0.6961  1 Mg 2.84, 2 Np 2.85
Se: 0.7331 0.9646 0.6961  1 Mg 2.84, 2 Np 2.85
Se: 0.2669 0.0354 0.3039  1 Mg 2.84, 2 Np 2.85
Se: 0.7685 0.5371 0.3040  1 Mg 2.84, 2 Np 2.85
Se: 0.7685 0.0354 0.3039  1 Mg 2.84, 2 Np 2.85
Se: 0.2649 0.5298 0.2949  3 Np 2.88
Se: 0.2315 0.4629 0.6960  1 Mg 2.84, 2 Np 2.85
Se: 0.7351 0.4702 0.7051  3 Np 2.88
Mg: 0.0000 0.0000 0.5000  6 Se 2.84
K: 0.0000 0.5000 0.0000  6 Se 3.32-3.36
K: 0.0000 0.0000 0.0000  6 Se 3.32-3.36
K: 0.5000 0.5000 0.0000  6 Se 3.32-3.36

Entry 8:
# Li5PtO4

Crystalline Li5PtO4 at its relaxed geometry (PBE, Alexandria via LeMat-Bulk).

Its density of states at the Fermi level is 0.421 states/eV per atom. The uncorrected formation energy is -13.94 eV/f.u. The electronic total energy is -98.76 eV per cell.

a b c (Å): 3.2272 8.9015 6.6740
angles (deg): 90.00 90.00 90.00
With the nearest neighbours (Å) after each atom.
Sites, in units of the cell vectors:
Li: 0.7500 0.7955 0.6580  3 O 1.85-2.00
Li: 0.7500 0.2045 0.6580  3 O 1.85-2.00
Li: 0.7500 0.2045 0.3420  3 O 1.85-2.00
Li: 0.2500 0.7045 0.1580  3 O 1.85-2.00
Li: 0.2500 0.0000 0.5000  6 O 2.11-2.34
Li: 0.7500 0.5000 0.0000  6 O 2.11-2.34
Li: 0.2500 0.2955 0.8420  3 O 1.85-2.00
Li: 0.7500 0.7955 0.3420  3 O 1.85-2.00
Li: 0.2500 0.7045 0.8420  3 O 1.85-2.00
Li: 0.2500 0.2955 0.1580  3 O 1.85-2.00
O: 0.2500 0.2628 0.5000  4 Li 2.00, 1 Pt 2.11
O: 0.7500 0.7628 0.0000  4 Li 2.00, 1 Pt 2.11
O: 0.2500 0.5000 0.7974  2 Li 1.85, 1 Pt 1.98
O: 0.7500 0.0000 0.7026  2 Li 1.85, 1 Pt 1.98
O: 0.7500 0.0000 0.2974  2 Li 1.85, 1 Pt 1.98
O: 0.2500 0.5000 0.2026  2 Li 1.85, 1 Pt 1.98
O: 0.7500 0.2372 0.0000  4 Li 2.00, 1 Pt 2.11
O: 0.2500 0.7372 0.5000  4 Li 2.00, 1 Pt 2.11
Pt: 0.7500 0.0000 0.0000  4 O 1.98-2.11
Pt: 0.2500 0.5000 0.5000  4 O 1.98-2.11